Density functional theory data (GGA-PBE) for a relaxed LaZn2Mo crystal.

The structure in POSCAR format:
```
LaZn2Mo
1.0
1.500 0.866 9.974
-1.500 0.866 9.974
0.000 -1.732 9.974
La Zn Mo
1 2 1
Direct
0.000 0.000 0.000 La
0.239 0.239 0.239 Zn
0.761 0.761 0.761 Zn
0.500 0.500 0.500 Mo
```

Summary:
ΔE_f in eV per formula unit: 1.5
Excess energy over the best structure of this formula in the dataset in meV/atom: 264
Fermi-level density of states in states/eV/cell: 3.43